one) Compound: SiSnSe2Br
Source: Alexandria via LeMat-Bulk
Functional: GGA-PBE
Structure: optimized geometry

Cell: 4.9880 4.9880 5.0306 Å, 90.00 90.00 90.00°
Element x y z (fractional)
Si 0.0000 0.0000 0.0000
Sn 0.5000 0.5000 0.5000
Se 0.0000 0.5000 0.0000
Se 0.5000 0.0000 0.0000
Br 0.0000 0.0000 0.5000

space group = P4/mmm

two) Compound: SiSnSe2Br
Source: Alexandria via LeMat-Bulk
Functional: GGA-PBE
Structure: optimized geometry

Cell: 5.3327 5.3327 5.3344 Å, 90.00 90.00 90.00°
Element x y z (fractional)
Si 0.0000 0.0000 0.0000
Sn 0.5000 0.5000 0.5000
Se 0.0000 0.5000 0.5000
Se 0.5000 0.0000 0.5000
Br 0.5000 0.5000 0.0000

space group = P4/mmm

three) Compound: SiSnSe2Br
Source: Alexandria via LeMat-Bulk
Functional: GGA-PBE
Structure: optimized geometry

Cell: 5.1815 5.1815 5.7037 Å, 90.00 90.00 90.00°
Element x y z (fractional)
Si 0.0000 0.0000 0.0000
Sn 0.0000 0.0000 0.5000
Se 0.0000 0.5000 0.5000
Se 0.5000 0.0000 0.5000
Br 0.5000 0.5000 0.0000

space group = P4/mmm

Name the least stable of them. three).

one) Compound: SiSnSeBr2
Source: Alexandria via LeMat-Bulk
Functional: GGA-PBE
Structure: optimized geometry

Cell: 5.4937 5.4937 5.4789 Å, 90.00 90.00 90.00°
Element x y z (fractional)
Si 0.0000 0.0000 0.0000
Sn 0.5000 0.5000 0.5000
Se 0.5000 0.5000 0.0000
Br 0.0000 0.5000 0.5000
Br 0.5000 0.0000 0.5000

space group = P4/mmm

two) Compound: SiSnSeBr2
Source: Alexandria via LeMat-Bulk
Functional: GGA-PBE
Structure: optimized geometry

Cell: 5.0962 5.0962 5.1933 Å, 90.00 90.00 90.00°
Element x y z (fractional)
Si 0.0000 0.0000 0.0000
Sn 0.5000 0.5000 0.5000
Se 0.0000 0.0000 0.5000
Br 0.0000 0.5000 0.0000
Br 0.5000 0.0000 0.0000

space group = P4/mmm

Name the least stable of them. one).

one) Compound: SrSiSeBr2
Source: Alexandria via LeMat-Bulk
Functional: GGA-PBE
Structure: optimized geometry

Cell: 5.2048 5.2048 5.2744 Å, 90.00 90.00 90.00°
Element x y z (fractional)
Sr 0.0000 0.0000 0.0000
Si 0.5000 0.5000 0.5000
Se 0.5000 0.5000 0.0000
Br 0.0000 0.5000 0.5000
Br 0.5000 0.0000 0.5000

space group = P4/mmm

two) Compound: SrSiSeBr2
Source: Alexandria via LeMat-Bulk
Functional: GGA-PBE
Structure: optimized geometry

Cell: 5.6727 5.6727 6.1050 Å, 90.00 90.00 90.00°
Element x y z (fractional)
Sr 0.0000 0.0000 0.0000
Si 0.5000 0.5000 0.5000
Se 0.0000 0.0000 0.5000
Br 0.0000 0.5000 0.0000
Br 0.5000 0.0000 0.0000

space group = P4/mmm

Name the least stable of them. two).

one) Compound: SiTcSe2Br
Source: Alexandria via LeMat-Bulk
Functional: GGA-PBE
Structure: optimized geometry

Cell: 4.9184 4.9184 4.9648 Å, 90.00 90.00 90.00°
Element x y z (fractional)
Si 0.0000 0.0000 0.0000
Tc 0.5000 0.5000 0.5000
Se 0.0000 0.5000 0.0000
Se 0.5000 0.0000 0.0000
Br 0.0000 0.0000 0.5000

space group = P4/mmm

two) Compound: SiTcSe2Br
Source: Alexandria via LeMat-Bulk
Functional: GGA-PBE
Structure: optimized geometry

Cell: 4.8193 4.8193 5.2386 Å, 90.00 90.00 90.00°
Element x y z (fractional)
Si 0.0000 0.0000 0.0000
Tc 0.5000 0.5000 0.5000
Se 0.0000 0.5000 0.5000
Se 0.5000 0.0000 0.5000
Br 0.5000 0.5000 0.0000

space group = P4/mmm

Name the least stable of them. one).

one) Compound: SiTeSeBr2
Source: Alexandria via LeMat-Bulk
Functional: GGA-PBE
Structure: optimized geometry

Cell: 5.4977 5.4977 5.5765 Å, 90.00 90.00 90.00°
Element x y z (fractional)
Si 0.0000 0.0000 0.0000
Te 0.5000 0.5000 0.5000
Se 0.5000 0.5000 0.0000
Br 0.0000 0.5000 0.5000
Br 0.5000 0.0000 0.5000

space group = P4/mmm

two) Compound: SiTeSeBr2
Source: Alexandria via LeMat-Bulk
Functional: GGA-PBE
Structure: optimized geometry

Cell: 4.9506 4.9506 5.4097 Å, 90.00 90.00 90.00°
Element x y z (fractional)
Si 0.0000 0.0000 0.0000
Te 0.5000 0.5000 0.5000
Se 0.0000 0.0000 0.5000
Br 0.0000 0.5000 0.0000
Br 0.5000 0.0000 0.0000

space group = P4/mmm

three) Compound: SiTeSeBr2
Source: Alexandria via LeMat-Bulk
Functional: GGA-PBE
Structure: optimized geometry

Cell: 5.1947 5.1947 5.7294 Å, 90.00 90.00 90.00°
Element x y z (fractional)
Si 0.0000 0.0000 0.0000
Te 0.5000 0.5000 0.0000
Se 0.5000 0.5000 0.5000
Br 0.0000 0.5000 0.5000
Br 0.5000 0.0000 0.5000

space group = P4/mmm

Name the least stable of them. one).

one) Compound: TlSiSeBr2
Source: Alexandria via LeMat-Bulk
Functional: GGA-PBE
Structure: optimized geometry

Cell: 5.3755 5.3755 4.8786 Å, 90.00 90.00 90.00°
Element x y z (fractional)
Tl 0.0000 0.0000 0.0000
Si 0.5000 0.5000 0.5000
Se 0.5000 0.5000 0.0000
Br 0.0000 0.5000 0.5000
Br 0.5000 0.0000 0.5000

space group = P4/mmm

two) Compound: TlSiSeBr2
Source: Alexandria via LeMat-Bulk
Functional: GGA-PBE
Structure: optimized geometry

Cell: 5.5479 5.5479 5.4659 Å, 90.00 90.00 90.00°
Element x y z (fractional)
Tl 0.0000 0.0000 0.0000
Si 0.5000 0.5000 0.5000
Se 0.0000 0.0000 0.5000
Br 0.0000 0.5000 0.0000
Br 0.5000 0.0000 0.0000

space group = P4/mmm

Name the least stable of them. two).